Here is an optimized crystal structure of Y4Zr2Pb3N3 from the Open Quantum Materials Database. Energies are from PBE-GGA.

a = 6.0582 Å, b = 6.0582 Å, c = 15.6171 Å
α = 101.27°, β = 101.27°, γ = 60.11°
Last column: nearest neighbours and their distance in Å.
Element x y z (fractional)
Y 0.0337 0.1917 0.0859  3 N 2.41-2.43
Y 0.1330 0.3044 0.4141  3 N 2.42-2.43
Y 0.1917 0.0337 0.5859  3 N 2.41-2.43
Y 0.3044 0.1330 0.9141  3 N 2.42-2.43
Y 0.6956 0.8670 0.0859  3 N 2.42-2.43
Y 0.8083 0.9663 0.4141  3 N 2.41-2.43
Y 0.8670 0.6956 0.5859  3 N 2.42-2.43
Y 0.9663 0.8083 0.9141  3 N 2.41-2.43
Zr 0.3560 0.5256 0.0764  3 N 2.29-2.31
Zr 0.4744 0.6440 0.4236  3 N 2.29-2.31
Zr 0.5256 0.3560 0.5764  3 N 2.29-2.31
Zr 0.6440 0.4744 0.9236  3 N 2.29-2.31
Pb 0.1045 0.8955 0.2500  4 Y 3.24-3.25, 2 Zr 3.25, 6 Pb 3.28-3.62
Pb 0.2723 0.4161 0.7512  2 Zr 3.24-3.26, 4 Y 3.25-3.26, 6 Pb 3.28-3.62
Pb 0.4161 0.2723 0.2512  2 Zr 3.24-3.26, 4 Y 3.25-3.26, 6 Pb 3.28-3.62
Pb 0.5839 0.7277 0.7488  2 Zr 3.24-3.26, 4 Y 3.25-3.26, 6 Pb 3.28-3.62
Pb 0.7277 0.5839 0.2488  2 Zr 3.24-3.26, 4 Y 3.25-3.26, 6 Pb 3.28-3.62
Pb 0.8955 0.1045 0.7500  4 Y 3.24-3.25, 2 Zr 3.25, 6 Pb 3.28-3.62
N 0.0000 0.5000 0.0000  2 Zr 2.31, 4 Y 2.41-2.42
N 0.1794 0.6607 0.5000  2 Zr 2.29, 4 Y 2.42-2.43
N 0.3393 0.8206 0.0000  2 Zr 2.29, 4 Y 2.42-2.43
N 0.5000 0.0000 0.5000  2 Zr 2.31, 4 Y 2.41-2.42
N 0.6607 0.1794 0.0000  2 Zr 2.29, 4 Y 2.42-2.43
N 0.8206 0.3393 0.5000  2 Zr 2.29, 4 Y 2.42-2.43

## Properties
The calculation puts the magnetic moment at 0.01 μB/f.u. The theoretical density is 8.24 Mg/m³. The value obtained for the total energy is -183.6 eV for the cell shown. As for the crystal system: monoclinic.